# YBiWO6 (GGA+U, relaxed)
# E: -7.4907 eV/atom
# Mass density: 7.287 Mg/m³
# Magnetic moment: 0.00 μB/f.u.
data_YBiWO6
_cell_length_a 5.6154
_cell_length_b 5.6154
_cell_length_c 9.6420
_cell_angle_alpha 90.00
_cell_angle_beta 90.00
_cell_angle_gamma 120.00
_symmetry_space_group_name_H-M 'P -3 1 c'
_symmetry_Int_Tables_number 163
_symmetry_space_group_name_Hall '-P 3 2c'
loop_
_atom_site_label
_atom_site_type_symbol
_atom_site_fract_x
_atom_site_fract_y
_atom_site_fract_z
_atom_site_occupancy
Y1 Y 0.3333 0.6667 0.2500 1
Bi1 Bi 0.0000 0.0000 0.0000 1
W1 W 0.3333 0.6667 0.7500 1
O1 O 0.0412 0.3778 0.6371 1